(1)
# Tl2SeF PBE optimized geometry
# Uncorrected formation energy in eV/atom: -0.852
# Energy above the most stable polymorph in this dataset in meV/atom: 133
data_Tl2SeF
_chemical_formula_sum 'Tl6 Se3 F3'
_cell_length_a 4.2013
_cell_length_b 4.2013
_cell_length_c 20.6145
_cell_angle_alpha 90.00
_cell_angle_beta 90.00
_cell_angle_gamma 120.00
_space_group_name_H-M_alt 'R 3 m'
_space_group_IT_number 160
_space_group_name_Hall 'R 3 -2"'
loop_
_atom_site_label
_atom_site_type_symbol
_atom_site_fract_x
_atom_site_fract_y
_atom_site_fract_z
_atom_site_occupancy
Tl1 Tl 0.0000 0.0000 0.0000 1
Tl2 Tl 0.0000 0.0000 0.1879 1
Se1 Se 0.0000 0.0000 0.4104 1
F1 F 0.0000 0.0000 0.5862 1

---

(2)
# YSi2Os PBE optimized geometry
# Uncorrected formation energy in eV/atom: -0.180
data_YSi2Os
_chemical_formula_sum 'Y4 Si8 Os4'
_cell_length_a 6.4136
_cell_length_b 6.4136
_cell_length_c 6.4136
_cell_angle_alpha 90.00
_cell_angle_beta 90.00
_cell_angle_gamma 90.00
_space_group_name_H-M_alt 'F m -3 m'
_space_group_IT_number 225
_space_group_name_Hall '-F 4 2 3'
loop_
_atom_site_label
_atom_site_type_symbol
_atom_site_fract_x
_atom_site_fract_y
_atom_site_fract_z
_atom_site_occupancy
Y1 Y 0.0000 0.0000 0.0000 1
Si1 Si 0.2500 0.2500 0.2500 1
Os1 Os 0.0000 0.0000 0.5000 1

---

(3)
# Cd2BrCl8 PBE optimized geometry
# Uncorrected formation energy in eV/atom: -0.342
data_Cd2BrCl8
_chemical_formula_sum 'Cd4 Br2 Cl16'
_cell_length_a 6.9819
_cell_length_b 18.3674
_cell_length_c 5.5916
_cell_angle_alpha 90.00
_cell_angle_beta 90.22
_cell_angle_gamma 90.00
_space_group_name_H-M_alt 'C 1 2/m 1'
_space_group_IT_number 12
_space_group_name_Hall '-C 2y'
loop_
_atom_site_label
_atom_site_type_symbol
_atom_site_fract_x
_atom_site_fract_y
_atom_site_fract_z
_atom_site_occupancy
Cd1 Cd 0.0000 0.2502 0.0000 1
Br1 Br 0.0000 0.0000 0.5000 1
Cl1 Cl 0.0000 0.2493 0.5000 1
Cl2 Cl 0.1535 0.5000 0.5585 1
Cl3 Cl 0.2497 0.1479 0.9952 1